Below is LaCe2Zn2Hg2 after structural relaxation, with properties calculated at the PBE level.

Geometry as POSCAR:
```
LaCe2Zn2Hg2
1.0
4.587 0.000 0.000
2.293 3.972 0.000
2.293 1.324 9.389
La Ce Zn Hg
1 2 2 2
direct
0.000 0.000 0.000
0.144 0.144 0.570
0.856 0.856 0.430
0.582 0.582 0.254
0.418 0.418 0.746
0.738 0.738 0.787
0.262 0.262 0.213
```

For the raw total energy, the calculation gives -3.1356 eV/atom. As for the total moment: 1.13 μB/cell. The space group is R-3m.